Computed, not measured: a relaxed La12Co5S crystal at the PBE level of DFT.

The structure belongs to space group C2/m (No. 12); the cell edges are 7.0845, 12.2762 and 13.0562 Å and the angles 90.00°, 100.26° and 90.00°. Symmetry generates all atoms from La at (0.1129, 0.0000, 0.3799), La at (0.1335, 0.3263, 0.3795), La at (0.1987, 0.5000, 0.1155), La at (0.2076, 0.1635, 0.1131), Co at (0.0000, 0.0000, 0.0000), Co at (0.0000, 0.1672, 0.5000), Co at (0.0000, 0.3334, 0.0000) and S at (0.0000, 0.5000, 0.5000).

As for the total energy: -5.7807 eV/atom. The energy relative to the elements, uncorrected is -0.293 eV/atom.